one | Crystalline FeCo3S at its relaxed geometry. Source: Alexandria via LeMat-Bulk, functional PBE.

POSCAR file:
```
FeCo3S
1.0
4.327 0.000 0.000
0.000 4.327 0.000
0.000 0.000 4.327
S Co Fe
1 3 1
Cartesian
2.164 2.164 2.164
0.000 2.164 0.000
0.000 0.000 2.164
2.164 0.000 0.000
0.000 0.000 0.000
```

Results
density	5.4	g cm⁻³
D(E_F)	10.21	states/eV/cell



two | Crystalline FeCo3S at its relaxed geometry. Source: Alexandria via LeMat-Bulk, functional PBE.

POSCAR file:
```
FeCo3S
1.0
4.071 0.000 0.000
0.000 4.071 0.000
0.000 0.000 4.071
S Co Fe
1 3 1
Cartesian
0.000 0.000 0.000
0.000 2.036 0.000
0.000 0.000 2.036
2.036 0.000 0.000
2.036 2.036 2.036
```

Results
density	6.5	g cm⁻³
D(E_F)	10.40	states/eV/cell



So which one is most stable? That would be two, about 891 meV per atom below the next structure.



one | Crystalline FeCo2S at its relaxed geometry. Source: Alexandria via LeMat-Bulk, functional PBE.

POSCAR file:
```
FeCo2S
1.0
-2.782 4.239 -1.127
-4.093 -2.030 2.471
-2.013 3.103 4.673
S Co Fe
2 4 2
Cartesian
-3.438 1.105 0.672
-4.772 1.089 3.909
-2.667 3.039 0.808
-3.497 0.170 2.537
-4.216 3.092 4.087
-7.398 4.324 4.604
0.000 0.000 0.000
-4.117 4.224 2.110
```

Results
density	5.4	g cm⁻³
D(E_F)	4.78	states/eV/cell



two | Crystalline FeCo2S at its relaxed geometry. Source: Alexandria via LeMat-Bulk, functional PBE.

POSCAR file:
```
FeCo2S
1.0
0.000 2.867 2.867
2.867 0.000 2.867
2.867 2.867 0.000
S Co Fe
1 2 1
Cartesian
0.000 0.000 0.000
1.433 1.433 1.433
4.300 4.300 4.300
2.867 2.867 2.867
```

Results
density	7.3	g cm⁻³
D(E_F)	1.96	states/eV/cell



So which one is most stable? That would be two, about 242 meV per atom below the next structure.



one | Crystalline FeCoSb4 at its relaxed geometry. Source: Alexandria via LeMat-Bulk, functional PBE.

POSCAR file:
```
FeCoSb4
1.0
3.276 0.000 0.000
0.000 5.744 0.000
0.000 0.016 6.480
Fe Co Sb
1 1 4
Cartesian
0.000 0.000 0.000
1.638 2.880 3.240
1.638 1.752 0.934
1.638 4.008 5.546
0.000 4.629 2.298
0.000 1.131 4.182
```

Results
density	8.2	g cm⁻³
D(E_F)	3.99	states/eV/cell



two | Crystalline FeCoSb4 at its relaxed geometry. Source: Alexandria via LeMat-Bulk, functional PBE.

POSCAR file:
```
FeCoSb4
1.0
0.000 4.283 4.283
4.283 0.000 4.283
4.283 4.283 0.000
Fe Co Sb
1 1 4
Cartesian
0.000 0.000 0.000
6.424 6.424 6.424
3.215 5.351 5.351
5.351 5.351 3.215
5.351 3.215 5.351
3.215 3.215 3.215
```

Results
density	6.4	g cm⁻³
D(E_F)	8.70	states/eV/cell



three | Crystalline FeCoSb4 at its relaxed geometry. Source: Alexandria via LeMat-Bulk, functional PBE.

POSCAR file:
```
FeCoSb4
1.0
6.331 0.000 -0.229
0.000 6.378 0.000
-0.138 0.000 6.281
Fe Co Sb
2 2 8
Cartesian
0.000 0.000 0.000
3.165 3.189 -0.115
3.097 0.000 3.026
-0.069 3.189 3.141
5.547 4.066 0.652
3.812 0.877 5.285
2.190 2.315 2.272
0.837 5.504 3.895
0.646 2.312 5.400
2.381 5.501 0.767
4.003 4.063 3.780
5.356 0.874 2.157
```

Results
density	7.9	g cm⁻³
D(E_F)	12.72	states/eV/cell



So which one is most stable? That would be one, about 165 meV per atom below the next structure.



one | Crystalline Sc4FeCo at its relaxed geometry. Source: Alexandria via LeMat-Bulk, functional PBE.

POSCAR file:
```
Sc4FeCo
1.0
3.128 -0.001 0.000
0.001 3.128 0.000
-0.001 -0.001 11.599
Sc Fe Co
4 1 1
Cartesian
1.563 1.563 10.105
1.564 1.564 1.494
3.128 3.127 7.323
0.000 0.000 4.276
0.000 0.000 0.000
1.564 1.563 5.800
```

Results
density	4.3	g cm⁻³
D(E_F)	2.92	states/eV/cell



two | Crystalline Sc4FeCo at its relaxed geometry. Source: Alexandria via LeMat-Bulk, functional PBE.

POSCAR file:
```
Sc4FeCo
1.0
-4.662 0.974 2.798
-4.870 -0.179 -2.601
-3.524 -4.130 1.017
Sc Fe Co
4 1 1
Cartesian
-7.228 -0.763 1.856
-6.659 -3.317 0.964
-7.332 -1.340 -0.846
-4.895 -1.250 0.455
0.000 0.000 0.000
-9.793 -2.501 0.911
```

Results
density	4.1	g cm⁻³
D(E_F)	8.41	states/eV/cell



So which one is most stable? That would be one, about 944 meV per atom below the next structure.



one | Crystalline ScFeCo3 at its relaxed geometry. Source: Alexandria via LeMat-Bulk, functional PBE.

POSCAR file:
```
ScFeCo3
1.0
4.315 0.000 0.000
0.000 4.315 0.000
0.000 0.000 4.315
Sc Co Fe
1 3 1
Cartesian
0.000 0.000 0.000
0.000 2.157 0.000
0.000 0.000 2.157
2.157 0.000 0.000
2.157 2.157 2.157
```

Results
density	5.7	g cm⁻³
D(E_F)	3.57	states/eV/cell



two | Crystalline ScFeCo3 at its relaxed geometry. Source: Alexandria via LeMat-Bulk, functional PBE.

POSCAR file:
```
ScFeCo3
1.0
4.277 0.000 0.000
0.000 4.277 0.000
0.000 0.000 4.277
Sc Co Fe
1 3 1
Cartesian
2.139 2.139 2.139
0.000 2.139 0.000
0.000 0.000 2.139
2.139 0.000 0.000
0.000 0.000 0.000
```

Results
density	5.9	g cm⁻³
D(E_F)	4.44	states/eV/cell



three | Crystalline ScFeCo3 at its relaxed geometry. Source: Alexandria via LeMat-Bulk, functional PBE.

POSCAR file:
```
ScFeCo3
1.0
4.767 0.000 0.000
0.000 8.668 0.000
-2.384 -4.334 3.235
Sc Fe Co
2 2 6
Cartesian
0.000 -0.091 1.617
2.384 4.424 1.617
0.000 4.334 0.000
2.384 0.000 0.000
3.575 2.167 0.440
1.192 2.167 0.440
1.192 2.167 2.795
-1.192 2.167 2.795
0.000 6.025 1.617
2.384 -1.692 1.617
```

Results
density	6.9	g cm⁻³
D(E_F)	10.99	states/eV/cell



So which one is most stable? That would be three, about 607 meV per atom below the next structure.



one | Crystalline ScFe3Co at its relaxed geometry. Source: Alexandria via LeMat-Bulk, functional PBE.

POSCAR file:
```
ScFe3Co
1.0
4.341 0.000 0.000
0.000 4.341 0.000
0.000 0.000 4.341
Sc Co Fe
1 1 3
Cartesian
2.171 2.171 2.171
0.000 0.000 0.000
0.000 2.171 0.000
0.000 0.000 2.171
2.171 0.000 0.000
```

Results
density	5.5	g cm⁻³
D(E_F)	8.15	states/eV/cell



two | Crystalline ScFe3Co at its relaxed geometry. Source: Alexandria via LeMat-Bulk, functional PBE.

POSCAR file:
```
ScFe3Co
1.0
4.351 0.000 0.000
0.000 4.351 0.000
0.000 0.000 4.351
Sc Co Fe
1 1 3
Cartesian
0.000 0.000 0.000
2.175 2.175 2.175
0.000 2.175 0.000
0.000 0.000 2.175
2.175 0.000 0.000
```

Results
density	5.5	g cm⁻³
D(E_F)	13.22	states/eV/cell



So which one is most stable? That would be one, about 1076 meV per atom below the next structure.